1.
A geometry-optimized VCo3Pt12 structure, computed with GGA-PBE.

```
16
Lattice="-1.1099 -2.1866 -3.0263 1.5585 -3.1403 1.6974 -13.5559 -2.9058 7.0709" Properties=species:S:1:pos:R:3 pbc="T T T"
Pt -9.0243 -2.9087 2.9045
Pt -2.2356 -1.4535 -0.6365
Pt -7.6901 -3.3856 5.2664
Pt -5.6415 -2.1836 1.1400
Pt -9.9425 -4.8428 4.6386
Pt -3.1647 -3.3899 1.1033
Pt -12.4302 -3.6388 4.6811
Pt -11.0960 -4.1157 7.0430
Pt -0.9014 -1.9304 1.7253
Pt -4.3073 -2.6605 3.5019
Pt -6.5536 -4.1163 2.8710
Pt 0.2243 -2.6634 -0.6645
V 0.0000 0.0000 0.0000
Co -10.1075 -2.1666 5.2722
Co -6.7780 -1.4529 3.5355
Co -3.4484 -0.7392 1.7987
```

formation enthalpy at 0 K = -0.17 eV/atom

2.
A geometry-optimized NbCr2CoAs structure, computed with GGA-PBE.

```
5
Lattice="-2.0480 -0.8832 -3.7460 -3.4830 -1.2309 2.1944 -1.5242 4.0825 -0.1293" Properties=species:S:1:pos:R:3 pbc="T T T"
Nb -3.5276 0.9842 -0.8404
As -1.7415 -0.6155 1.0972
Cr -1.0240 -0.4416 -1.8730
Cr -0.7621 2.0413 -0.0646
Co 0.0000 0.0000 0.0000
```

formation enthalpy at 0 K = 0.85 eV/atom

3.
A geometry-optimized AcDy4Ir4 structure, computed with GGA-PBE.

```
18
Lattice="5.6290 0.0000 0.0000 0.0000 9.1333 0.0000 0.0000 0.0000 9.1333" Properties=species:S:1:pos:R:3 pbc="T T T"
Ac 0.0000 0.0000 0.0000
Ac 2.8145 4.5666 4.5666
Dy 0.5580 1.4555 5.4939
Dy 5.0710 5.4939 7.6778
Dy 2.2565 3.1112 8.2060
Dy 5.0710 3.6394 1.4555
Dy 2.2565 6.0221 0.9272
Dy 0.5580 7.6778 3.6394
Dy 3.3725 0.9272 3.1112
Dy 3.3725 8.2060 6.0221
Ir 3.3648 7.2583 3.2824
Ir 5.0787 6.4416 1.2843
Ir 0.5503 1.2843 2.6917
Ir 2.2642 5.8509 7.2583
Ir 0.5503 7.8490 6.4416
Ir 3.3648 1.8750 5.8509
Ir 5.0787 2.6917 7.8490
Ir 2.2642 3.2824 1.8750
```

formation enthalpy at 0 K = -0.65 eV/atom

4.
A geometry-optimized Dy6HoTh2 structure, computed with GGA-PBE.

```
9
Lattice="-0.0405 -3.5050 0.6216 3.0756 1.7900 0.0995 -3.4951 4.5816 25.6051" Properties=species:S:1:pos:R:3 pbc="T T T"
Dy 0.0676 2.6066 14.7011
Dy -0.7013 3.6145 20.3341
Dy 0.5112 2.0250 11.4511
Dy -2.1192 2.3466 23.2860
Dy 1.2801 1.0171 5.8181
Dy 0.6206 -1.2450 3.2143
Th -0.1507 -0.2340 8.8644
Th -1.3480 1.3355 17.6359
Ho 2.0369 0.0250 0.2736
```

distance to the lowest polymorph of the same formula = 15 kJ/mol of formula units
formation enthalpy at 0 K = 0.07 eV/atom

5.
A geometry-optimized TiGeRh2 structure, computed with GGA-PBE.

```
4
Lattice="-1.3557 1.5644 2.9499 3.0586 -1.4533 2.1764 2.1344 3.3224 -0.7810" Properties=species:S:1:pos:R:3 pbc="T T T"
Rh 1.0672 1.6612 -0.3905
Rh 1.5293 -0.7267 1.0882
Ge -0.6778 0.7822 1.4749
Ti 1.9187 1.7167 2.1726
```

formation enthalpy at 0 K = -0.66 eV/atom

6.
A geometry-optimized ZnHgOF2 structure, computed with GGA-PBE.

```
5
Lattice="-2.8209 -0.2332 -3.4683 -0.2648 -4.4392 0.5139 -3.2882 0.5019 2.6407" Properties=species:S:1:pos:R:3 pbc="T T T"
Zn -3.1870 -2.0853 -0.1568
F -1.4105 -0.1166 -1.7341
F -0.1324 -2.2196 0.2569
Hg 0.0000 0.0000 0.0000
O -1.6441 0.2509 1.3204
```

distance to the lowest polymorph of the same formula = 343 kJ/mol of formula units
energy relative to the elements, uncorrected = -0.491 eV/atom

7.
A geometry-optimized YPtSeBr2 structure, computed with GGA-PBE.

```
5
Lattice="5.4078 0.0000 0.0000 0.0000 5.4078 0.0000 0.0000 0.0000 5.6721" Properties=species:S:1:pos:R:3 pbc="T T T"
Y 0.0000 0.0000 0.0000
Se 0.0000 0.0000 2.8361
Pt 2.7039 2.7039 2.8361
Br 2.7039 0.0000 0.0000
Br 0.0000 2.7039 0.0000
```

distance to the lowest polymorph of the same formula = 73 kJ/mol of formula units
energy relative to the elements, uncorrected = -0.185 eV/atom

8.
A geometry-optimized KOs2Cl structure, computed with GGA-PBE.

```
4
Lattice="7.6250 0.0000 0.0000 0.0000 3.6613 0.0000 0.0000 0.0000 3.6613" Properties=species:S:1:pos:R:3 pbc="T T T"
Os 0.0000 1.8306 1.8306
Os 0.0000 0.0000 0.0000
K 3.8125 0.0000 1.8306
Cl 3.8125 1.8306 0.0000
```

distance to the lowest polymorph of the same formula = 270 kJ/mol of formula units
energy relative to the elements, uncorrected = 0.954 eV/atom

M_tot values (in μB/cell) by entry order: 9.78 3.59 0.00 0.01 0.00 0.00 1.06 1.07.